DFT (SCAN) results for LaAlAg at its PBEsol-relaxed geometry.

```
LaAlAg
1.0
4.7895 0.0000 0.0000
2.3948 4.1479 0.0000
2.3948 1.3826 3.9106
Ag Al La
1 1 1
direct
0.5000 0.5000 0.5000
0.2500 0.2500 0.2500
0.0000 0.0000 0.0000
```

## Properties
ΔE_f ... -0.108 eV/f.u.
Crystal system ... cubic